# PBE NbTcOs, relaxed
data_NbTcOs
_symmetry_space_group_name_H-M 'I 4/m m m'
_symmetry_Int_Tables_number 139
_symmetry_space_group_name_Hall '-I 4 2'
_cell_length_a 3.958
_cell_length_b 3.958
_cell_length_c 12.706
_cell_angle_alpha 90.00
_cell_angle_beta 90.00
_cell_angle_gamma 90.00
loop_
_atom_site_label
_atom_site_type_symbol
_atom_site_fract_x
_atom_site_fract_y
_atom_site_fract_z
_atom_site_occupancy
Nb1 Nb 0.000 0.000 0.154 1
Tc1 Tc 0.000 0.000 0.356 1
Os1 Os 0.000 0.500 0.000 1
# - ΔE_f (eV/atom) = 0.232
# - polymorph energy (0 for the lowest one) (meV per atom) = 148